# 1
First-principles (GGA-PBEsol) data for crystalline Li4Ti2Cu3Sb3O16 at its relaxed geometry, as listed in Alexandria via LeMat-Bulk.

Computed properties:
- V (Å³ per atom) = 11.0
- energy (eV/atom) = -6.55
- magnetic moment (μB per cell) = 2.02
- formation energy (no corrections) (eV per atom) = -1.7243
- SG = No. 8

Cell lengths 6.122, 6.122, 9.711 Å; angles 93.37, 93.37, 58.28 degrees
Positions (direct):
Li  0.000  0.000  0.000
Li  0.023  0.023  0.529
Li  0.348  0.348  0.433
Li  0.698  0.698  0.923
Ti  0.392  0.392  0.991
Ti  0.710  0.710  0.530
Cu  0.213  0.696  0.731
Cu  0.696  0.213  0.731
Cu  0.850  0.850  0.238
Sb  0.206  0.206  0.744
Sb  0.356  0.852  0.243
Sb  0.852  0.356  0.243
O  0.019  0.019  0.341
O  0.037  0.037  0.818
O  0.066  0.497  0.885
O  0.170  0.170  0.132
O  0.206  0.693  0.117
O  0.362  0.362  0.640
O  0.379  0.886  0.617
O  0.497  0.066  0.885
O  0.517  0.517  0.879
O  0.521  0.981  0.374
O  0.534  0.534  0.360
O  0.682  0.682  0.134
O  0.693  0.206  0.117
O  0.864  0.864  0.608
O  0.886  0.379  0.617
O  0.981  0.521  0.374


# 2
First-principles (GGA-PBEsol) data for crystalline Ag2OsRh at its relaxed geometry, as listed in Alexandria via LeMat-Bulk.

Computed properties:
- V (Å³ per atom) = 14.9
- energy (eV/atom) = -6.28
- magnetic moment (μB per cell) = 0.00
- energy of formation (meV per atom) = 463
- SG = No. 166
- excess energy over the best structure of this formula in the dataset (eV per atom) = 0.000

Cell lengths 9.409, 9.409, 9.409 Å; angles 16.64, 16.64, 16.64 degrees
Positions (direct):
Ag  0.249  0.249  0.249
Ag  0.751  0.751  0.751
Os  0.000  0.000  0.000
Rh  0.500  0.500  0.500


# 3
First-principles (GGA-PBEsol) data for crystalline MnTlTe2 at its relaxed geometry, as listed in Alexandria via LeMat-Bulk.

Computed properties:
- V (Å³ per atom) = 29.5
- energy (eV/atom) = -4.85
- magnetic moment (μB per cell) = 4.01
- formation energy (no corrections) (eV per atom) = 0.0143
- SG = No. 10

Cell lengths 4.273, 3.756, 7.548 Å; angles 90.00, 103.16, 90.00 degrees
Positions (direct):
Mn  0.000  0.000  0.000
Tl  0.500  0.000  0.500
Te  0.103  0.500  0.777
Te  0.897  0.500  0.223


# 4
First-principles (GGA-PBEsol) data for crystalline TlCd3 at its relaxed geometry, as listed in Alexandria via LeMat-Bulk.

Computed properties:
- V (Å³ per atom) = 23.3
- energy (eV/atom) = -1.46
- magnetic moment (μB per cell) = 0.00
- energy of formation (meV per atom) = 99
- SG = No. 223

Cell lengths 5.714, 5.714, 5.714 Å; angles 90.00, 90.00, 90.00 degrees
Positions (direct):
Tl  0.000  0.000  0.000
Tl  0.500  0.500  0.500
Cd  0.000  0.250  0.500
Cd  0.000  0.750  0.500
Cd  0.250  0.500  0.000
Cd  0.500  0.000  0.250
Cd  0.500  0.000  0.750
Cd  0.750  0.500  0.000


# 5
First-principles (GGA-PBEsol) data for crystalline Li4UO5 at its relaxed geometry, as listed in Alexandria via LeMat-Bulk.

Computed properties:
- V (Å³ per atom) = 9.8
- energy (eV/atom) = -7.18
- magnetic moment (μB per cell) = 0.00
- formation energy (no corrections) (eV per atom) = -2.5543
- SG = No. 87

Cell lengths 5.209, 5.209, 5.209 Å; angles 100.28, 100.28, 130.03 degrees
Positions (direct):
Li  0.084  0.314  0.398
Li  0.314  0.916  0.231
Li  0.686  0.084  0.769
Li  0.916  0.686  0.602
U  0.500  0.500  0.000
O  0.000  0.000  0.000
O  0.211  0.589  0.801
O  0.411  0.211  0.622
O  0.589  0.789  0.378
O  0.789  0.411  0.199


# 6
First-principles (GGA-PBEsol) data for crystalline RbSnAs3 at its relaxed geometry, as listed in Alexandria via LeMat-Bulk.

Computed properties:
- V (Å³ per atom) = 30.3
- energy (eV/atom) = -3.68
- magnetic moment (μB per cell) = 0.00
- energy of formation (meV per atom) = 443
- SG = No. 221

Cell lengths 5.333, 5.333, 5.333 Å; angles 90.00, 90.00, 90.00 degrees
Positions (direct):
Rb  0.000  0.000  0.000
Sn  0.500  0.500  0.500
As  0.000  0.500  0.500
As  0.500  0.000  0.500
As  0.500  0.500  0.000


# 7
First-principles (GGA-PBEsol) data for crystalline SrLiF2 at its relaxed geometry, as listed in Alexandria via LeMat-Bulk.

Computed properties:
- V (Å³ per atom) = 15.7
- energy (eV/atom) = -4.21
- magnetic moment (μB per cell) = 0.44
- formation energy (no corrections) (eV per atom) = -2.2910
- SG = No. 225

Cell lengths 4.462, 4.462, 4.462 Å; angles 60.00, 60.00, 60.00 degrees
Positions (direct):
Sr  0.000  0.000  0.000
Li  0.500  0.500  0.500
F  0.250  0.250  0.250
F  0.750  0.750  0.750


# 8
First-principles (GGA-PBEsol) data for crystalline K2HgBr at its relaxed geometry, as listed in Alexandria via LeMat-Bulk.

Computed properties:
- V (Å³ per atom) = 34.4
- energy (eV/atom) = -1.91
- magnetic moment (μB per cell) = 0.00
- formation energy (no corrections) (eV per atom) = -0.7355
- SG = No. 225
- excess energy over the best structure of this formula in the dataset (eV per atom) = 0.150

Cell lengths 5.794, 5.794, 5.794 Å; angles 60.00, 60.00, 60.00 degrees
Positions (direct):
K  0.250  0.250  0.250
K  0.750  0.750  0.750
Hg  0.000  0.000  0.000
Br  0.500  0.500  0.500